Entry 1:
{
  "formula": "Ge2SbO",
  "functional": "GGA-PBE",
  "state": "relaxed",
  "raw_formation_energy_mev_per_atom": -145,
  "space_group": "I-42d",
  "cell": [[-2.6110, 2.6110, 6.3839], [2.6110, -2.6110, 6.3839], [2.6110, 2.6110, -6.3839]],
  "species": ["Ge", "Ge", "Ge", "Ge", "Sb", "Sb", "O", "O"],
  "frac_coords": [[0.0063, 0.6250, 0.8813], [0.3750, 0.2563, 0.3813], [0.7437, 0.1250, 0.1187], [0.8750, 0.9937, 0.6187], [0.2500, 0.7500, 0.5000], [0.5000, 0.5000, 0.0000], [0.0000, 0.0000, 0.0000], [0.7500, 0.2500, 0.5000]]
}

Entry 2:
{
  "formula": "Sc2SiAu",
  "functional": "GGA-PBE",
  "state": "relaxed",
  "raw_formation_energy_mev_per_atom": -765,
  "space_group": "Amm2",
  "cell": [[4.0782, 0.0000, 0.0000], [0.0000, 1.8804, 5.1314], [0.0000, -1.8804, 5.1314]],
  "species": ["Sc", "Sc", "Si", "Au"],
  "frac_coords": [[0.0000, 0.0000, 0.0000], [0.5000, 0.2868, 0.2868], [0.5000, 0.5585, 0.5585], [0.0000, 0.7244, 0.7244]]
}

Entry 3:
{
  "formula": "KHfBr2F",
  "functional": "GGA-PBE",
  "state": "relaxed",
  "raw_formation_energy_mev_per_atom": -908,
  "space_group": "P4/mmm",
  "cell": [[5.0930, 0.0000, 0.0000], [0.0000, 5.0930, 0.0000], [0.0000, 0.0000, 8.6015]],
  "species": ["K", "Hf", "Br", "Br", "F"],
  "frac_coords": [[0.0000, 0.0000, 0.0000], [0.0000, 0.0000, 0.5000], [0.0000, 0.5000, 0.5000], [0.5000, 0.0000, 0.5000], [0.5000, 0.5000, 0.0000]]
}

Entry 4:
{
  "formula": "LiCa2Tb3S6",
  "functional": "GGA-PBE",
  "state": "relaxed",
  "raw_formation_energy_mev_per_atom": -1997,
  "space_group": "C2/m",
  "cell": [[3.3996, -5.8886, 0.0000], [3.3996, 5.8886, 0.0000], [-2.2654, 0.0000, 6.5106]],
  "species": ["Li", "Ca", "Ca", "Tb", "Tb", "Tb", "S", "S", "S", "S", "S", "S"],
  "frac_coords": [[0.0000, 0.0000, 0.0000], [0.3336, 0.6664, 0.0000], [0.6664, 0.3336, 0.0000], [0.1668, 0.8332, 0.5000], [0.5000, 0.5000, 0.5000], [0.8332, 0.1668, 0.5000], [0.0839, 0.4123, 0.2520], [0.2443, 0.2443, 0.7482], [0.4123, 0.0839, 0.2520], [0.5877, 0.9161, 0.7480], [0.7557, 0.7557, 0.2518], [0.9161, 0.5877, 0.7480]]
}